1.
Computed, not measured: a relaxed Re4O crystal at the PBE level of DFT.

Cell and atoms, written as extended XYZ:
```
5
Lattice="-0.863 0.753 3.907 -3.528 -1.994 -0.395 1.841 -3.469 1.075" Properties=species:S:1:pos:R:3 pbc="T T T"
Re 0.489 -1.358 2.491
Re -0.844 -2.732 0.340
O -1.275 -2.355 2.293
Re -2.196 -0.621 1.756
Re 0.000 0.000 0.000
```

Magnetic moment   0.00 μB/f.u.
Density of states at the Fermi level   4.0 states/eV/f.u.
SG   Pm-3m
ΔE_f (raw)   399 meV/atom

=====

2.
Computed, not measured: a relaxed ReRh3O crystal at the PBE level of DFT.

Cell and atoms, written as extended XYZ:
```
5
Lattice="-3.478 0.146 -2.158 -1.915 -2.107 2.945 -1.005 3.510 1.857" Properties=species:S:1:pos:R:3 pbc="T T T"
Rh -0.957 -1.053 1.472
O 0.000 0.000 0.000
Rh -0.502 1.755 0.929
Re -3.199 0.774 1.322
Rh -1.739 0.073 -1.079
```

Distance to the lowest polymorph of the same formula   0.00 kJ/mol of atoms
Magnetic moment   2.40 μB/f.u.
Density of states at the Fermi level   8.6 states/eV/f.u.
SG   Pm-3m
ΔE_f (raw)   569 meV/atom

=====

3.
Computed, not measured: a relaxed Re2RhO8 crystal at the PBE level of DFT.

Cell and atoms, written as extended XYZ:
```
11
Lattice="-3.781 -0.064 3.522 3.865 -1.535 4.719 0.851 6.018 1.621" Properties=species:S:1:pos:R:3 pbc="T T T"
O 0.877 1.787 3.504
Re 1.243 3.478 7.272
O -1.782 0.746 3.553
O 2.718 3.672 6.309
Re -0.308 0.940 2.591
O 3.206 0.208 5.730
O -0.214 -0.945 6.246
O -2.271 4.210 4.132
O 0.058 2.631 6.359
Rh 0.000 0.000 0.000
O 1.149 5.363 3.616
```

Magnetic moment   0.16 μB/f.u.
Density of states at the Fermi level   2.9 states/eV/f.u.
SG   C2/m
ΔE_f (raw)   -1211 meV/atom

=====

4.
Computed, not measured: a relaxed Re2RhO crystal at the PBE level of DFT.

Cell and atoms, written as extended XYZ:
```
8
Lattice="4.408 0.000 0.000 0.000 4.408 0.000 2.204 2.204 6.501" Properties=species:S:1:pos:R:3 pbc="T T T"
O 2.204 4.408 3.250
Re 2.836 1.102 1.625
Re 3.306 3.777 4.875
Rh 0.000 0.000 0.000
Re 5.511 5.040 4.875
O 2.204 2.204 0.000
Rh 4.408 2.204 3.250
Re 1.573 3.306 1.625
```

Magnetic moment   0.00 μB/f.u.
Density of states at the Fermi level   3.7 states/eV/f.u.
SG   I-42d
ΔE_f (raw)   498 meV/atom

=====

5.
Computed, not measured: a relaxed Re2Rh2O5 crystal at the PBE level of DFT.

Cell and atoms, written as extended XYZ:
```
9
Lattice="3.639 0.000 0.000 0.000 3.639 0.000 0.000 0.000 7.839" Properties=species:S:1:pos:R:3 pbc="T T T"
O 1.820 1.820 3.919
O 1.820 0.000 5.893
O 0.000 1.820 1.945
Rh 0.000 0.000 3.919
O 0.000 1.820 5.893
Re 1.820 1.820 6.573
Rh 0.000 0.000 0.000
O 1.820 0.000 1.945
Re 1.820 1.820 1.265
```

Magnetic moment   2.38 μB/f.u.
Density of states at the Fermi level   7.1 states/eV/f.u.
SG   P4/mmm
ΔE_f (raw)   -233 meV/atom

=====

6.
Computed, not measured: a relaxed ReRhO2 crystal at the PBE level of DFT.

Cell and atoms, written as extended XYZ:
```
4
Lattice="1.650 2.442 2.579 -2.200 2.637 1.884 -0.712 -0.421 3.828" Properties=species:S:1:pos:R:3 pbc="T T T"
O -0.946 3.494 6.218
Re -0.631 2.329 4.145
Rh 0.000 0.000 0.000
O -0.315 1.165 2.073
```

Distance to the lowest polymorph of the same formula   110.55 kJ/mol of atoms
Magnetic moment   0.00 μB/f.u.
Density of states at the Fermi level   5.6 states/eV/f.u.
SG   Fm-3m
ΔE_f (raw)   462 meV/atom

=====

Look up the ΔE_f (raw) of the third one. -1211 meV/atom